! Dy2Y5Ho (PBE, optimized geometry); values from VASP
! Symmetry: Amm2 (38)
! Crystal system: orthorhombic
! Energy of formation from the pure elements: 3.9 meV per atom
&SYSTEM
  ibrav = 0, nat = 8, ntyp = 3
/
ATOMIC_SPECIES
Dy 162.50 Dy.upf
Ho 164.93 Ho.upf
Y 88.91 Y.upf
CELL_PARAMETERS angstrom
5.657 0.000 0.000
0.000 3.627 6.283
0.000 -3.627 6.283
ATOMIC_POSITIONS crystal
Dy 0.000 0.333 0.333
Dy 0.500 0.667 0.667
Ho 0.000 0.834 0.834
Y 0.500 0.667 0.166
Y 0.500 0.166 0.166
Y 0.000 0.834 0.333
Y 0.500 0.166 0.667
Y 0.000 0.333 0.834